[1]
## HfAl3F (PBE-GGA)

Data for a relaxed structure of HfAl3F.

Structure (extended XYZ):
```
5
Lattice="4.314 0.000 0.000 0.000 4.314 0.000 0.000 0.000 4.314" Properties=species:S:1:pos:R:3 pbc="T T T"
Hf 2.157 2.157 2.157
Al 0.000 2.157 0.000
Al 0.000 0.000 2.157
Al 2.157 0.000 0.000
F 0.000 0.000 0.000
```

Energy relative to the elements, uncorrected = -0.563 eV/atom

[2]
## Pr5NdSmDy2 (PBE-GGA)

Data for a relaxed structure of Pr5NdSmDy2.

Structure (extended XYZ):
```
18
Lattice="5.760 0.000 0.000 -2.880 10.335 0.000 0.000 0.000 10.731" Properties=species:S:1:pos:R:3 pbc="T T T"
Pr 0.000 8.047 0.278
Pr 2.880 4.547 8.710
Pr 0.000 9.880 7.962
Pr 0.000 6.111 7.562
Pr 2.880 10.002 5.600
Pr 2.880 2.287 5.643
Pr 0.000 5.788 3.345
Pr 2.880 0.455 2.596
Pr 2.880 4.223 2.196
Pr 0.000 0.333 0.235
Nd 2.880 1.823 10.214
Nd 0.000 8.511 4.849
Sm 2.880 6.214 5.477
Sm 0.000 4.121 0.112
Dy 2.880 7.908 8.808
Dy 0.000 2.331 7.883
Dy 0.000 2.427 3.443
Dy 2.880 8.004 2.517
```

Uncorrected energy = -4.590 eV/atom

[3]
## Ac2La4Pm3 (PBE-GGA)

Data for a relaxed structure of Ac2La4Pm3.

Structure (extended XYZ):
```
18
Lattice="9.183 -0.074 0.000 -3.119 8.305 0.000 0.000 0.000 8.990" Properties=species:S:1:pos:R:3 pbc="T T T"
Ac 4.489 1.391 3.123
Ac 6.166 6.804 7.618
Ac 1.575 6.841 5.867
Ac -0.102 1.428 1.372
La 7.702 0.647 4.832
La 2.954 7.547 0.337
La -1.638 7.584 4.158
La 3.111 0.684 8.653
La 6.328 3.969 1.253
La 4.327 4.225 5.748
La -0.264 4.262 7.737
La 1.737 4.006 3.242
Pm -1.559 4.153 4.495
Pm 3.032 4.116 0.000
Pm 6.157 1.975 7.453
Pm 4.498 6.219 2.958
Pm -0.093 6.256 1.537
Pm 1.566 2.012 6.032
```

Uncorrected energy = -4.567 eV/atom

[4]
## K2Zn2Au (PBE-GGA)

Data for a relaxed structure of K2Zn2Au.

Structure (extended XYZ):
```
10
Lattice="4.759 0.000 0.000 0.000 4.759 0.000 -2.380 -2.380 17.640" Properties=species:S:1:pos:R:3 pbc="T T T"
K 2.380 2.380 11.314
K 2.380 0.000 2.494
K 2.380 0.000 15.146
K 0.000 0.000 6.326
Zn 0.000 2.380 16.706
Zn 2.380 2.380 7.886
Zn 0.000 0.000 9.754
Zn 0.000 2.380 0.934
Au 2.380 2.380 0.000
Au 0.000 2.380 8.820
```

Uncorrected energy = -1.662 eV/atom

[5]
## Na2CuNiBr6 (PBE-GGA)

Data for a relaxed structure of Na2CuNiBr6.

Structure (extended XYZ):
```
20
Lattice="6.772 0.000 0.144 0.000 7.052 0.000 0.266 0.000 10.322" Properties=species:S:1:pos:R:3 pbc="T T T"
Na 0.294 6.481 2.699
Na 3.813 4.098 7.932
Na 6.744 0.572 7.767
Na 3.225 2.955 2.534
Cu 3.386 0.000 0.072
Cu 0.133 3.526 5.161
Ni 3.519 0.000 5.233
Ni 0.000 3.526 0.000
Br 2.058 4.951 0.544
Br 5.577 5.628 5.778
Br 4.979 2.102 9.922
Br 1.461 1.424 4.689
Br 2.163 4.909 4.632
Br 5.682 5.669 9.865
Br 4.875 2.143 5.834
Br 1.356 1.383 0.601
Br 6.102 3.678 2.496
Br 2.849 6.900 7.585
Br 0.936 3.374 7.970
Br 4.189 0.152 2.881
```

Energy relative to the elements, uncorrected = -0.752 eV/atom

[6]
## Rb2BaCu (PBE-GGA)

Data for a relaxed structure of Rb2BaCu.

Structure (extended XYZ):
```
4
Lattice="0.000 4.678 4.678 4.678 0.000 4.678 4.678 4.678 0.000" Properties=species:S:1:pos:R:3 pbc="T T T"
Cu 0.000 0.000 0.000
Ba 4.678 4.678 4.678
Rb 2.339 2.339 2.339
Rb 7.017 7.017 7.017
```

Uncorrected energy = -1.436 eV/atom

[7]
## BTeRuN2 (PBE-GGA)

Data for a relaxed structure of BTeRuN2.

Structure (extended XYZ):
```
5
Lattice="-0.292 -3.398 -0.221 3.032 -0.158 -1.570 3.084 -0.657 6.020" Properties=species:S:1:pos:R:3 pbc="T T T"
Ru 2.912 -2.106 2.114
B 0.000 0.000 0.000
Te 1.542 -0.328 3.010
N 1.516 -0.079 -0.785
N -0.146 -1.699 -0.111
```

Energy relative to the elements, uncorrected = 1.710 eV/atom

[8]
## CsNaMg2Zn (PBE-GGA)

Data for a relaxed structure of CsNaMg2Zn.

Structure (extended XYZ):
```
5
Lattice="5.328 0.000 0.000 0.000 5.328 0.000 0.000 0.000 6.080" Properties=species:S:1:pos:R:3 pbc="T T T"
Cs 2.664 2.664 3.040
Na 0.000 0.000 3.040
Zn 0.000 0.000 0.000
Mg 0.000 2.664 0.000
Mg 2.664 0.000 0.000
```

Uncorrected energy = -1.178 eV/atom

[9]
## CdFePb2 (PBE-GGA)

Data for a relaxed structure of CdFePb2.

Structure (extended XYZ):
```
4
Lattice="-3.290 -3.848 -3.116 2.136 -5.498 -0.737 -0.828 3.781 4.512" Properties=species:S:1:pos:R:3 pbc="T T T"
Cd -0.577 -4.673 -1.926
Fe -2.348 -2.370 -0.265
Pb 0.000 0.000 0.000
Pb 0.366 -3.195 0.924
```

Uncorrected energy = -3.705 eV/atom

[10]
## NaAl4Ag2 (PBE-GGA)

Data for a relaxed structure of NaAl4Ag2.

Structure (extended XYZ):
```
7
Lattice="-2.828 2.643 0.584 0.398 -0.503 4.199 5.463 6.268 -1.915" Properties=species:S:1:pos:R:3 pbc="T T T"
Na 0.000 0.000 0.000
Al 2.358 4.867 2.507
Al 2.398 2.086 2.171
Al 0.675 3.542 0.360
Al 3.463 3.680 0.112
Ag -0.256 2.089 2.423
Ag 3.289 6.319 0.445
```

Uncorrected energy = -3.146 eV/atom

[11]
## Ac2ClO2 (PBE-GGA)

Data for a relaxed structure of Ac2ClO2.

Structure (extended XYZ):
```
5
Lattice="4.032 0.000 0.000 0.000 4.032 0.000 0.000 0.000 6.969" Properties=species:S:1:pos:R:3 pbc="T T T"
Ac 2.016 2.016 4.980
Ac 2.016 2.016 1.989
Cl 0.000 0.000 0.000
O 2.016 0.000 3.484
O 0.000 2.016 3.484
```

Energy relative to the elements, uncorrected = -2.364 eV/atom

[12]
## ScMnAl2B (PBE-GGA)

Data for a relaxed structure of ScMnAl2B.

Structure (extended XYZ):
```
5
Lattice="5.236 0.000 0.000 0.000 4.430 0.000 0.000 0.000 5.236" Properties=species:S:1:pos:R:3 pbc="T T T"
Sc 0.000 0.000 0.000
B 2.618 2.215 2.618
Mn 0.000 2.215 0.000
Al 0.000 0.000 2.618
Al 2.618 0.000 0.000
```

Uncorrected energy = -4.007 eV/atom

[13]
## LaInW2 (PBE-GGA)

Data for a relaxed structure of LaInW2.

Structure (extended XYZ):
```
4
Lattice="2.931 -0.030 0.000 -1.071 2.728 0.000 0.000 0.000 10.200" Properties=species:S:1:pos:R:3 pbc="T T T"
In 0.930 1.349 2.550
La 0.930 1.349 7.650
W 0.000 0.000 0.201
W 0.000 0.000 4.899
```

Uncorrected energy = -7.575 eV/atom

[14]
## LaCe2InOs (PBE-GGA)

Data for a relaxed structure of LaCe2InOs.

Structure (extended XYZ):
```
5
Lattice="-5.215 -1.049 0.232 1.061 -4.841 1.947 -0.186 2.102 5.328" Properties=species:S:1:pos:R:3 pbc="T T T"
La 0.968 -3.791 4.609
Ce 0.345 -0.320 6.298
Ce -1.733 -3.265 7.388
In -2.171 -1.891 3.763
Os -0.186 2.101 5.326
```

Uncorrected energy = -6.297 eV/atom

[15]
## LiHg3Bi (PBE-GGA)

Data for a relaxed structure of LiHg3Bi.

Structure (extended XYZ):
```
5
Lattice="5.047 0.000 0.000 0.000 5.047 0.000 0.000 0.000 5.047" Properties=species:S:1:pos:R:3 pbc="T T T"
Li 0.000 0.000 0.000
Bi 2.524 2.524 2.524
Hg 0.000 2.524 0.000
Hg 0.000 0.000 2.524
Hg 2.524 0.000 0.000
```

Uncorrected energy = -1.218 eV/atom

[16]
## Pu3TlRh (PBE-GGA)

Data for a relaxed structure of Pu3TlRh.

Structure (extended XYZ):
```
15
Lattice="7.166 0.000 0.000 0.000 7.166 0.000 0.000 0.000 7.166" Properties=species:S:1:pos:R:3 pbc="T T T"
Pu 3.583 3.583 3.583
Pu 1.596 1.596 1.596
Pu 5.570 5.570 1.596
Pu 5.570 1.596 5.570
Pu 1.596 5.570 5.570
Pu 1.596 1.596 5.570
Pu 5.570 5.570 5.570
Pu 1.596 5.570 1.596
Pu 5.570 1.596 1.596
Tl 0.000 3.583 3.583
Tl 3.583 0.000 3.583
Tl 3.583 3.583 0.000
Rh 3.583 0.000 0.000
Rh 0.000 3.583 0.000
Rh 0.000 0.000 3.583
```

Uncorrected energy = -10.581 eV/atom

[17]
## Ce2SiSe (PBE-GGA)

Data for a relaxed structure of Ce2SiSe.

Structure (extended XYZ):
```
16
Lattice="-0.445 -5.906 0.356 5.917 -0.447 -0.028 0.110 0.709 11.899" Properties=species:S:1:pos:R:3 pbc="T T T"
Ce -0.236 -3.805 10.702
Ce 5.819 -1.839 1.525
Ce 2.694 -4.209 7.667
Ce 2.889 -1.435 4.560
Ce 2.639 -4.566 1.764
Ce 2.943 -1.079 10.463
Ce 5.624 -4.615 4.678
Ce -0.041 -1.030 7.549
Si 2.917 -1.254 7.511
Si 2.666 -4.390 4.716
Si 5.902 -1.300 10.472
Si -0.319 -4.344 1.755
Se -0.070 -1.213 4.551
Se 5.652 -4.431 7.676
Se 2.861 -1.614 1.562
Se 2.722 -4.030 10.665
```

Energy relative to the elements, uncorrected = -1.222 eV/atom

[18]
## ZnCr2Cu (PBE-GGA)

Data for a relaxed structure of ZnCr2Cu.

Structure (extended XYZ):
```
4
Lattice="-1.951 1.775 3.161 -1.216 -3.065 0.970 2.772 -0.474 1.977" Properties=species:S:1:pos:R:3 pbc="T T T"
Cr 0.000 0.000 0.000
Cr 0.778 -1.770 1.473
Cu -1.583 -0.645 2.066
Zn 0.411 0.650 2.569
```

Uncorrected energy = -5.933 eV/atom

[19]
## VCr2Re (PBE-GGA)

Data for a relaxed structure of VCr2Re.

Structure (extended XYZ):
```
4
Lattice="-0.911 0.893 2.676 -3.803 -1.524 -0.785 1.139 -3.674 1.614" Properties=species:S:1:pos:R:3 pbc="T T T"
Re -0.455 0.446 1.338
V -1.787 -2.153 1.752
Cr 0.570 -1.837 0.807
Cr -1.901 -0.762 -0.393
```

Uncorrected energy = -10.336 eV/atom

[20]
## TbPr3Sn3 (PBE-GGA)

Data for a relaxed structure of TbPr3Sn3.

Structure (extended XYZ):
```
14
Lattice="-3.075 0.757 7.423 -5.194 -3.226 -5.268 2.553 -7.294 1.863" Properties=species:S:1:pos:R:3 pbc="T T T"
Tb -3.565 -8.342 3.213
Tb -2.150 -1.420 0.804
Pr -4.301 -4.192 2.033
Pr -3.595 -6.268 -2.411
Pr -2.120 -3.494 6.428
Pr -4.719 -2.334 -2.427
Pr -3.549 -0.135 4.581
Pr -1.415 -5.570 1.984
Sn -7.358 -3.706 2.391
Sn -3.415 -5.934 4.932
Sn -4.156 -7.327 0.493
Sn -2.301 -3.828 -0.914
Sn -1.560 -2.435 3.524
Sn 1.642 -6.056 1.626
```

Uncorrected energy = -4.883 eV/atom

[21]
## MoAu2Br (PBE-GGA)

Data for a relaxed structure of MoAu2Br.

Structure (extended XYZ):
```
4
Lattice="3.033 0.000 0.000 0.000 3.033 0.000 0.000 0.000 8.686" Properties=species:S:1:pos:R:3 pbc="T T T"
Mo 1.516 1.516 6.580
Au 0.000 0.000 8.440
Au 1.516 1.516 1.739
Br 0.000 0.000 4.956
```

Energy relative to the elements, uncorrected = 0.313 eV/atom

[22]
## I2F (PBE-GGA)

Data for a relaxed structure of I2F.

Structure (extended XYZ):
```
3
Lattice="-0.211 2.240 -2.381 -3.636 0.739 3.162 5.219 3.755 3.204" Properties=species:S:1:pos:R:3 pbc="T T T"
I 0.485 4.847 2.899
I -0.105 2.732 0.967
F -0.497 1.250 -0.391
```

Energy relative to the elements, uncorrected = -0.498 eV/atom

[23]
## Cs3Ho2SnS6 (PBE-GGA)

Data for a relaxed structure of Cs3Ho2SnS6.

Structure (extended XYZ):
```
12
Lattice="-2.893 2.217 6.110 6.338 -3.231 0.030 2.481 7.443 -2.903" Properties=species:S:1:pos:R:3 pbc="T T T"
Cs 6.050 1.392 -0.415
Cs -0.124 5.036 3.651
Cs 2.963 3.214 1.618
Ho 3.262 -1.416 2.056
Ho 0.183 0.402 4.084
Sn 0.000 0.000 0.000
S 3.141 6.229 3.382
S 2.943 0.609 3.923
S 2.785 0.199 -0.145
S 6.242 4.399 1.339
S 2.983 5.819 -0.686
S -0.316 2.029 1.897
```

Energy relative to the elements, uncorrected = -1.435 eV/atom

[24]
## Li2PaCuS4 (PBE-GGA)

Data for a relaxed structure of Li2PaCuS4.

Structure (extended XYZ):
```
16
Lattice="-2.184 -0.569 -3.052 5.306 -3.665 -0.754 -5.532 -9.175 5.669" Properties=species:S:1:pos:R:3 pbc="T T T"
Li 0.279 -8.157 1.321
Li -0.475 -1.579 -1.726
Li -2.689 -5.251 0.543
Li -1.935 -11.829 3.590
Pa -3.259 -7.715 3.770
Pa 0.849 -5.693 -1.907
Cu -2.375 -9.851 1.176
Cu -0.035 -3.557 0.688
S 1.828 -3.459 -0.664
S -2.817 -7.592 1.071
S -4.238 -9.950 2.528
S 0.407 -5.816 0.793
S -2.766 -4.587 2.835
S 0.000 0.000 0.000
S -0.396 -10.399 2.221
S -2.014 -3.010 -0.358
```

Energy relative to the elements, uncorrected = -1.154 eV/atom